# 1
Material: GdPuH
Method: DFT, PBE
State: relaxed

Computed properties:
The density is 10.82 g cm⁻³. The space group is No. 156. Its total energy is -32.042 eV/cell. The density of states at the Fermi level is 8.3 states/eV/cell.

Cell lengths 3.5350, 3.5350, 5.7064 Å; angles 90.00, 90.00, 120.00 degrees
Positions (direct):
Gd 0.0000 0.0000 0.0000
Pu 0.3333 0.6667 0.4930
H 0.6667 0.3333 0.2424

# 2
Material: Gd2PuH
Method: DFT, PBE
State: relaxed

Computed properties:
The density is 10.24 g cm⁻³. The space group is No. 123. The calculation puts the relative energy among the computed polymorphs at 239 meV/atom. The density of states at the Fermi level is 9.2 states/eV/cell.

Cell lengths 3.2823, 3.2823, 8.4216 Å; angles 90.00, 90.00, 90.00 degrees
Positions (direct):
Gd 0.0000 0.0000 0.1960
Gd 0.0000 0.0000 0.8040
Pu 0.5000 0.5000 0.5000
H 0.5000 0.5000 0.0000

# 3
Material: Gd2PuH
Method: DFT, PBE
State: relaxed

Computed properties:
The density is 9.94 g cm⁻³. The space group is No. 166. The calculation puts the relative energy among the computed polymorphs at 0 meV/atom. The density of states at the Fermi level is 9.1 states/eV/cell.

Cell lengths 8.7826, 8.7826, 8.7826 Å; angles 23.36, 23.36, 23.36 degrees
Positions (direct):
Gd 0.2226 0.2226 0.2226
Gd 0.7774 0.7774 0.7774
Pu 0.0000 0.0000 0.0000
H 0.5000 0.5000 0.5000

# 4
Material: Gd3PuH
Method: DFT, PBE
State: relaxed

Computed properties:
The density is 9.60 g cm⁻³. The space group is No. 221. Its total energy is -60.198 eV/cell. The density of states at the Fermi level is 14.5 states/eV/cell.

Cell lengths 4.9863, 4.9863, 4.9863 Å; angles 90.00, 90.00, 90.00 degrees
Positions (direct):
Gd 0.0000 0.0000 0.5000
Gd 0.0000 0.5000 0.0000
Gd 0.5000 0.0000 0.0000
Pu 0.5000 0.5000 0.5000
H 0.0000 0.0000 0.0000

Number 1: calculated volume 62 Å³/f.u.. Number 2: calculated volume 91 Å³/f.u.. Number 3: calculated volume 94 Å³/f.u.. Number 4: calculated volume 124 Å³/f.u..